[1]
Here is crystalline Co2TeS at its relaxed geometry from the Alexandria database. Energies are from PBE.

a = 4.977 Å, b = 4.977 Å, c = 6.816 Å
α = 68.58°, β = 68.58°, γ = 90.00°
Sites, in units of the cell vectors:
S (0.500, 0.500, 0.000)
S (0.250, 0.750, 0.500)
Te (0.000, 0.000, 0.000)
Te (0.750, 0.250, 0.500)
Co (0.551, 0.125, 0.250)
Co (0.199, 0.625, 0.250)
Co (0.375, 0.449, 0.750)
Co (0.875, 0.801, 0.750)

Summary:
VASP energy: -44.079 eV/cell
spin magnetization: 0.00 μB per cell
energy relative to the lowest polymorph listed for this composition: 0 meV per atom
SG: No. 122

---

[2]
Here is crystalline BaAcEuHo at its relaxed geometry from the Alexandria database. Energies are from PBE.

a = 6.251 Å, b = 6.251 Å, c = 6.251 Å
α = 60.00°, β = 60.00°, γ = 60.00°
Sites, in units of the cell vectors:
Eu (0.750, 0.750, 0.750)
Ac (0.250, 0.250, 0.250)
Ho (0.000, 0.000, 0.000)
Ba (0.500, 0.500, 0.500)

Summary:
VASP energy: -20.081 eV/cell
DFT formation energy: 0.2006 eV/atom
spin magnetization: 7.26 μB per cell
SG: No. 216